## A
A plane-wave DFT calculation with GGA-PBE was carried out for a relaxed BaMgTi crystal.

a = 3.5862 Å, b = 3.9717 Å, c = 13.4517 Å
α = 89.93°, β = 89.89°, γ = 89.24°
With the nearest neighbours (Å) after each atom.
Space group P1 (No. 1)
Inequivalent atoms, fractional coordinates:
Ba  0.0000  0.0000  0.0000 (multiplicity 1)  4 Ba 3.59-3.97, 8 Mg 3.69-3.77
Ba  0.0033  0.0023  0.6029 (multiplicity 1)  4 Ba 3.59-3.97, 4 Ti 3.67-3.73, 4 Mg 3.80-3.82
Mg  0.4985  0.4988  0.1908 (multiplicity 1)  4 Ti 3.03
Mg  0.5018  0.5014  0.8045 (multiplicity 1)  4 Mg 3.59-3.97, 8 Ba 3.74-3.82
Ti  0.4977  0.9981  0.3604 (multiplicity 1)  4 Ti 2.66-2.70
Ti  0.9970  0.4983  0.3728 (multiplicity 1)  4 Ti 2.66-2.70

Density of states at the Fermi level in states/eV per cell: 6.4
Spin magnetization in μB per atom: 0.000
Calculated density in Mg/m³: 3.6



## B
A plane-wave DFT calculation with GGA-PBE was carried out for a relaxed BaMgTi crystal.

a = 3.6228 Å, b = 3.6228 Å, c = 13.9302 Å
α = 90.00°, β = 90.00°, γ = 90.00°
With the nearest neighbours (Å) after each atom.
Space group P4mm (No. 99)
Inequivalent atoms, fractional coordinates:
Ba  0.0000  0.0000  0.0000 (multiplicity 1)  4 Ba 3.62, 8 Mg 3.78-3.81
Ba  0.0000  0.0000  0.3999 (multiplicity 1)  4 Ba 3.62, 5 Ti 3.66-3.76, 4 Mg 3.79
Mg  0.5000  0.5000  0.1992 (multiplicity 1)  4 Mg 3.62, 8 Ba 3.78-3.79
Mg  0.5000  0.5000  0.7971 (multiplicity 1)  5 Ti 2.92-3.11
Ti  0.0000  0.0000  0.6699 (multiplicity 1)  4 Ti 2.81, 4 Mg 3.11
Ti  0.5000  0.5000  0.5873 (multiplicity 1)  4 Ti 2.81, 1 Mg 2.92

Density of states at the Fermi level in states/eV per cell: 7.1
Spin magnetization in μB per atom: 0.348
Calculated density in Mg/m³: 3.8



## C
A plane-wave DFT calculation with GGA-PBE was carried out for a relaxed BaMgTi crystal.

a = 5.0734 Å, b = 5.0736 Å, c = 14.2281 Å
α = 90.00°, β = 90.08°, γ = 90.00°
With the nearest neighbours (Å) after each atom.
Space group C2/m (No. 12)
Inequivalent atoms, fractional coordinates:
Ba  0.2486  0.0000  0.1350 (multiplicity 4)  4 Ba 3.59, 4 Mg 3.79
Mg  0.2504  0.0000  0.6670 (multiplicity 4)  5 Ti 2.99-3.09
Ti  0.2496  0.0000  0.4570 (multiplicity 4)  4 Ti 2.81-2.82, 5 Mg 2.99-3.09

Density of states at the Fermi level in states/eV per cell: 11.9
Spin magnetization in μB per atom: 0.354
Calculated density in Mg/m³: 3.8



## D
A plane-wave DFT calculation with GGA-PBE was carried out for a relaxed BaMgTi crystal.

a = 6.0095 Å, b = 6.0095 Å, c = 12.8453 Å
α = 90.00°, β = 90.00°, γ = 120.00°
With the nearest neighbours (Å) after each atom.
Space group P6_3/mmc (No. 194)
Inequivalent atoms, fractional coordinates:
Ba  0.0000  0.0000  0.2500 (multiplicity 2)  2 Ti 3.21, 3 Mg 3.47
Mg  0.3333  0.6667  0.2500 (multiplicity 2)  3 Ba 3.47
Ti  0.0000  0.0000  0.0000 (multiplicity 2)  2 Ba 3.21

Density of states at the Fermi level in states/eV per cell: 18.0
Spin magnetization in μB per atom: 1.336
Calculated density in Mg/m³: 1.7



Relative to the most stable structure, the computed energies are A 146; B 53; C 0; D 1660, all in meV per atom.



## A
A plane-wave DFT calculation with GGA-PBE was carried out for a relaxed BaMgTi crystal.

a = 7.7928 Å, b = 3.6012 Å, c = 13.2021 Å
α = 90.00°, β = 90.00°, γ = 90.00°
With the nearest neighbours (Å) after each atom.
Space group Pnma (No. 62)
Inequivalent atoms, fractional coordinates:
Ba  0.1350  0.2500  0.2303 (multiplicity 4)  4 Ba 3.60-3.93, 5 Mg 3.63-3.85, 4 Ti 3.69-3.70
Mg  0.1676  0.2500  0.9560 (multiplicity 4)  3 Ti 3.04-3.14, 2 Mg 3.38
Ti  0.0698  0.2500  0.5582 (multiplicity 4)  2 Ti 2.60

Density of states at the Fermi level in states/eV per cell: 16.0
Spin magnetization in μB per atom: 0.316
Calculated density in Mg/m³: 3.8



## B
A plane-wave DFT calculation with GGA-PBE was carried out for a relaxed BaMgTi crystal.

a = 5.5567 Å, b = 5.5567 Å, c = 7.0372 Å
α = 90.00°, β = 90.00°, γ = 120.00°
With the nearest neighbours (Å) after each atom.
Space group P6_3/mmc (No. 194)
Inequivalent atoms, fractional coordinates:
Ba  0.0000  0.0000  0.0000 (multiplicity 2)  2 Ba 3.52, 6 Ti 3.66, 6 Mg 3.66
Mg  0.3333  0.6667  0.2500 (multiplicity 2)  5 Ti 3.21-3.52
Ti  0.3333  0.6667  0.7500 (multiplicity 2)  5 Mg 3.21-3.52

Density of states at the Fermi level in states/eV per cell: 9.3
Spin magnetization in μB per atom: 1.004
Calculated density in Mg/m³: 3.7



Relative to the most stable structure, the computed energies are A 0; B 248, all in meV per atom.



## A
A plane-wave DFT calculation with GGA-PBE was carried out for a relaxed BaMg6Ti crystal.

a = 7.0296 Å, b = 7.0296 Å, c = 4.2821 Å
α = 90.00°, β = 90.00°, γ = 90.00°
With the nearest neighbours (Å) after each atom.
Space group P4/mmm (No. 123)
Inequivalent atoms, fractional coordinates:
Ba  0.0000  0.0000  0.0000 (multiplicity 1)  12 Mg 3.51-3.55
Mg  0.0000  0.5000  0.0000 (multiplicity 2)  8 Mg 3.30, 2 Ti 3.51, 2 Ba 3.51
Mg  0.2847  0.2847  0.5000 (multiplicity 4)  6 Mg 3.03-3.30, 2 Ti 3.03
Ti  0.5000  0.5000  0.0000 (multiplicity 1)  8 Mg 3.03

Density of states at the Fermi level in states/eV per cell: 7.9
Spin magnetization in μB per atom: 0.282
Calculated density in Mg/m³: 2.6



## B
A plane-wave DFT calculation with GGA-PBE was carried out for a relaxed BaMg6Ti crystal.

a = 6.7072 Å, b = 6.7072 Å, c = 5.2708 Å
α = 90.00°, β = 90.00°, γ = 120.00°
With the nearest neighbours (Å) after each atom.
Space group P-6m2 (No. 187)
Inequivalent atoms, fractional coordinates:
Ba  0.0000  0.0000  0.0000 (multiplicity 1)  12 Mg 3.35-3.36
Mg  0.1777  0.3553  0.5000 (multiplicity 3)  6 Mg 3.13-3.28, 2 Ba 3.35, 2 Ti 3.36
Mg  0.5119  0.0238  0.0000 (multiplicity 3)  6 Mg 3.11-3.28, 2 Ti 3.19, 2 Ba 3.36
Ti  0.6667  0.3333  0.5000 (multiplicity 1)  12 Mg 3.19-3.36

Density of states at the Fermi level in states/eV per cell: 5.9
Spin magnetization in μB per atom: 0.169
Calculated density in Mg/m³: 2.7



Relative to the most stable structure, the computed energies are A 0; B 40, all in meV per atom.



## A
A plane-wave DFT calculation with GGA-PBE was carried out for a relaxed BaMg3Ti crystal.

a = 5.5394 Å, b = 5.5394 Å, c = 5.5394 Å
α = 90.00°, β = 90.00°, γ = 90.00°
With the nearest neighbours (Å) after each atom.
Space group Pm-3m (No. 221)
Inequivalent atoms, fractional coordinates:
Ba  0.0000  0.0000  0.0000 (multiplicity 1)  12 Mg 3.92
Mg  0.0000  0.5000  0.5000 (multiplicity 3)  2 Ti 2.77
Ti  0.5000  0.5000  0.5000 (multiplicity 1)  6 Mg 2.77

Density of states at the Fermi level in states/eV per cell: 3.9
Spin magnetization in μB per atom: 0.801
Calculated density in Mg/m³: 2.5



## B
A plane-wave DFT calculation with GGA-PBE was carried out for a relaxed BaMg3Ti crystal.

a = 5.7963 Å, b = 5.7963 Å, c = 5.7963 Å
α = 90.00°, β = 90.00°, γ = 90.00°
With the nearest neighbours (Å) after each atom.
Space group Pm-3m (No. 221)
Inequivalent atoms, fractional coordinates:
Ba  0.0000  0.0000  0.0000 (multiplicity 1)  6 Mg 2.90
Mg  0.0000  0.0000  0.5000 (multiplicity 3)  2 Ba 2.90
Ti  0.5000  0.5000  0.5000 (multiplicity 1)  12 Mg 4.10

Density of states at the Fermi level in states/eV per cell: 19.1
Spin magnetization in μB per atom: 0.027
Calculated density in Mg/m³: 2.2



Relative to the most stable structure, the computed energies are A 0; B 1209, all in meV per atom.



## A
A plane-wave DFT calculation with GGA-PBE was carried out for a relaxed BaMg4Tl crystal.

a = 8.9392 Å, b = 8.9392 Å, c = 8.9392 Å
α = 90.00°, β = 90.00°, γ = 90.00°
With the nearest neighbours (Å) after each atom.
Space group F-43m (No. 216)
Inequivalent atoms, fractional coordinates:
Ba  0.0000  0.0000  0.0000 (multiplicity 4)  12 Mg 3.71, 4 Tl 3.87
Mg  0.1242  0.1242  0.6242 (multiplicity 16)  6 Mg 3.14-3.18
Tl  0.2500  0.2500  0.2500 (multiplicity 4)  12 Mg 3.70, 4 Ba 3.87

Density of states at the Fermi level in states/eV per cell: 12.0
Spin magnetization in μB per atom: 0.000
Calculated density in Mg/m³: 4.1



## B
A plane-wave DFT calculation with GGA-PBE was carried out for a relaxed BaMg4Tl crystal.

a = 8.8019 Å, b = 4.8189 Å, c = 8.3500 Å
α = 90.00°, β = 90.00°, γ = 90.00°
With the nearest neighbours (Å) after each atom.
Space group Pmma (No. 51)
Inequivalent atoms, fractional coordinates:
Ba  0.2500  0.0000  0.1240 (multiplicity 2)  1 Tl 3.41, 6 Mg 3.66-3.67
Mg  0.0000  0.0000  0.5000 (multiplicity 2)  2 Tl 2.84
Mg  0.0545  0.5000  0.7948 (multiplicity 4)  2 Tl 3.03, 2 Mg 3.33-3.39
Mg  0.2500  0.5000  0.4533 (multiplicity 2)  2 Tl 3.25, 8 Mg 3.29-3.39
Tl  0.2500  0.0000  0.7151 (multiplicity 2)  6 Mg 2.84-3.03

Density of states at the Fermi level in states/eV per cell: 7.1
Spin magnetization in μB per atom: 0.000
Calculated density in Mg/m³: 4.1



Relative to the most stable structure, the computed energies are A 50; B 0, all in meV per atom.



## A
A plane-wave DFT calculation with GGA-PBE was carried out for a relaxed BaMg2Tl2 crystal.

a = 9.1169 Å, b = 9.1169 Å, c = 3.4532 Å
α = 90.00°, β = 90.00°, γ = 90.00°
With the nearest neighbours (Å) after each atom.
Space group P4/mbm (No. 127)
Inequivalent atoms, fractional coordinates:
Ba  0.0000  0.0000  0.0000 (multiplicity 2)  2 Ba 3.45, 4 Mg 3.62, 8 Tl 3.80
Mg  0.1225  0.3775  0.0000 (multiplicity 4)  3 Mg 3.16-3.45, 6 Tl 3.18-3.21
Tl  0.1701  0.6701  0.5000 (multiplicity 4)  6 Mg 3.18-3.21, 2 Tl 3.45

Density of states at the Fermi level in states/eV per cell: 6.5
Spin magnetization in μB per atom: 0.000
Calculated density in Mg/m³: 6.9



## B
A plane-wave DFT calculation with GGA-PBE was carried out for a relaxed BaMg2Tl2 crystal.

a = 4.9116 Å, b = 4.9116 Å, c = 12.8063 Å
α = 90.00°, β = 90.00°, γ = 90.00°
With the nearest neighbours (Å) after each atom.
Space group I4/mmm (No. 139)
Inequivalent atoms, fractional coordinates:
Ba  0.0000  0.0000  0.0000 (multiplicity 2)  8 Tl 3.79, 8 Mg 4.03
Mg  0.0000  0.5000  0.2500 (multiplicity 4)  4 Tl 2.98
Tl  0.0000  0.0000  0.3812 (multiplicity 4)  4 Mg 2.98, 1 Tl 3.04

Density of states at the Fermi level in states/eV per cell: 5.1
Spin magnetization in μB per atom: 0.000
Calculated density in Mg/m³: 6.4



Relative to the most stable structure, the computed energies are A 122; B 0, all in meV per atom.



## A
A plane-wave DFT calculation with GGA-PBE was carried out for a relaxed Ba3MgTl crystal.

a = 6.7032 Å, b = 6.7032 Å, c = 6.7032 Å
α = 90.00°, β = 90.00°, γ = 90.00°
With the nearest neighbours (Å) after each atom.
Space group Pm-3m (No. 221)
Inequivalent atoms, fractional coordinates:
Ba  0.0000  0.0000  0.5000 (multiplicity 3)  2 Tl 3.35
Mg  0.5000  0.5000  0.5000 (multiplicity 1)  12 Ba 4.74
Tl  0.0000  0.0000  0.0000 (multiplicity 1)  6 Ba 3.35

Density of states at the Fermi level in states/eV per cell: 9.8
Spin magnetization in μB per atom: 0.297
Calculated density in Mg/m³: 3.5



## B
A plane-wave DFT calculation with GGA-PBE was carried out for a relaxed Ba3MgTl crystal.

a = 6.1545 Å, b = 23.7128 Å, c = 6.1479 Å
α = 90.00°, β = 90.00°, γ = 90.00°
With the nearest neighbours (Å) after each atom.
Space group Cmcm (No. 63)
Inequivalent atoms, fractional coordinates:
Ba  0.0000  0.0737  0.2500 (multiplicity 4)  2 Tl 3.67, 2 Mg 3.71
Ba  0.0000  0.2496  0.2500 (multiplicity 4)  4 Mg 3.73-3.74, 4 Tl 3.76-3.78, 2 Ba 4.17
Ba  0.0000  0.4253  0.2500 (multiplicity 4)  2 Tl 3.66, 2 Mg 3.69
Mg  0.0000  0.3391  0.7500 (multiplicity 4)  8 Ba 3.69-3.74
Tl  0.0000  0.1579  0.7500 (multiplicity 4)  8 Ba 3.66-3.78

Density of states at the Fermi level in states/eV per cell: 14.2
Spin magnetization in μB per atom: 0.000
Calculated density in Mg/m³: 4.7



Relative to the most stable structure, the computed energies are A 326; B 0, all in meV per atom.



## A
A plane-wave DFT calculation with GGA-PBE was carried out for a relaxed Ba2MgTl2 crystal.

a = 8.3196 Å, b = 8.3196 Å, c = 5.4589 Å
α = 90.00°, β = 90.00°, γ = 90.00°
With the nearest neighbours (Å) after each atom.
Space group P4/mbm (No. 127)
Inequivalent atoms, fractional coordinates:
Ba  0.1635  0.3365  0.0000 (multiplicity 4)  6 Tl 3.57-3.73, 1 Ba 3.85
Mg  0.0000  0.0000  0.5000 (multiplicity 2)  4 Tl 3.21
Tl  0.1412  0.6412  0.5000 (multiplicity 4)  2 Mg 3.21, 1 Tl 3.32, 2 Ba 3.57

Density of states at the Fermi level in states/eV per cell: 12.1
Spin magnetization in μB per atom: 0.000
Calculated density in Mg/m³: 6.2



## B
A plane-wave DFT calculation with GGA-PBE was carried out for a relaxed Ba2MgTl2 crystal.

a = 12.8856 Å, b = 5.1952 Å, c = 12.8718 Å
α = 90.00°, β = 118.83°, γ = 90.00°
With the nearest neighbours (Å) after each atom.
Space group C2/m (No. 12)
Inequivalent atoms, fractional coordinates:
Ba  0.0054  0.0000  0.3333 (multiplicity 4)  4 Mg 3.69-3.87, 7 Tl 3.70-4.06
Ba  0.1885  0.0000  0.1085 (multiplicity 4)  6 Tl 3.66-3.75, 2 Mg 4.06
Mg  0.2219  0.5000  0.3652 (multiplicity 4)  4 Tl 3.01-3.20
Tl  0.0150  0.5000  0.8806 (multiplicity 4)  1 Mg 3.16, 1 Tl 3.28
Tl  0.1439  0.5000  0.5669 (multiplicity 4)  3 Mg 3.01-3.20, 1 Tl 3.25

Density of states at the Fermi level in states/eV per cell: 22.9
Spin magnetization in μB per atom: 0.000
Calculated density in Mg/m³: 6.2



Relative to the most stable structure, the computed energies are A 73; B 0, all in meV per atom.